(1)
A plane-wave DFT calculation with PBE-GGA was carried out for an optimized crystal structure of Tb3Pm4PrS8. Values from VASP.

Results
Raw formation energy = -2.016 eV per atom

Quantum ESPRESSO input file:
```
&SYSTEM
  ibrav = 0, nat = 16, ntyp = 4
/
ATOMIC_SPECIES
Tb 158.93 Tb.upf
Pm 145.00 Pm.upf
Pr 140.91 Pr.upf
S 32.06 S.upf
CELL_PARAMETERS angstrom
-4.726 4.272 -4.845
-6.459 -2.766 3.862
5.855 3.615 4.087
ATOMIC_POSITIONS angstrom
Tb -5.593 0.753 -0.491
Tb -2.665 2.561 1.553
Tb -0.302 0.425 3.975
Pm -2.363 2.136 -2.422
Pm 0.564 3.944 -0.379
Pm 0.000 0.000 0.000
Pm 2.928 1.808 2.044
Pr -3.230 -1.383 1.931
S -0.190 2.606 5.711
S -3.049 0.840 3.716
S 0.086 2.196 1.852
S -2.498 4.692 3.346
S -2.833 0.430 -0.241
S -5.417 2.926 1.253
S -2.281 4.281 -0.610
S -5.140 2.516 -2.606
```

=====

(2)
A plane-wave DFT calculation with PBE-GGA was carried out for an optimized crystal structure of TcPd3W. Values from VASP.

Results
Energy of formation from the pure elements = 1.60 eV per atom

Quantum ESPRESSO input file:
```
&SYSTEM
  ibrav = 0, nat = 5, ntyp = 3
/
ATOMIC_SPECIES
Pd 106.42 Pd.upf
W 183.84 W.upf
Tc 98.00 Tc.upf
CELL_PARAMETERS angstrom
-1.983 -2.725 -3.386
4.082 0.111 -2.480
1.494 -3.922 2.282
ATOMIC_POSITIONS angstrom
Pd 2.041 0.056 -1.240
Pd 0.747 -1.961 1.141
Pd -0.991 -1.363 -1.693
W 0.000 0.000 0.000
Tc 1.796 -3.268 -1.792
```

=====

(3)
A plane-wave DFT calculation with PBE-GGA was carried out for an optimized crystal structure of SmDy4Tm2. Values from VASP.

Results
Energy of formation from the pure elements = 0.03 eV per atom

Quantum ESPRESSO input file:
```
&SYSTEM
  ibrav = 0, nat = 7, ntyp = 3
/
ATOMIC_SPECIES
Sm 150.36 Sm.upf
Dy 162.50 Dy.upf
Tm 168.93 Tm.upf
CELL_PARAMETERS angstrom
3.488 0.246 -0.322
-0.867 8.009 -3.254
-0.917 -1.109 8.357
ATOMIC_POSITIONS angstrom
Sm 0.000 0.000 0.000
Dy -0.123 5.072 2.542
Dy 0.450 0.644 5.354
Dy 1.827 2.074 2.239
Dy 1.254 6.503 -0.573
Tm -0.259 3.306 -0.242
Tm 1.963 3.841 5.023
```

=====

(4)
A plane-wave DFT calculation with PBE-GGA was carried out for an optimized crystal structure of TcTeN2. Values from VASP.

Results
Raw formation energy = 1.125 eV per atom

Quantum ESPRESSO input file:
```
&SYSTEM
  ibrav = 0, nat = 4, ntyp = 3
/
ATOMIC_SPECIES
Te 127.60 Te.upf
Tc 98.00 Tc.upf
N 14.01 N.upf
CELL_PARAMETERS angstrom
1.843 0.000 6.524
-0.922 1.596 6.524
-0.922 -1.596 6.524
ATOMIC_POSITIONS angstrom
Te 0.000 0.000 9.786
Tc 0.000 0.000 0.000
N 0.000 0.000 17.626
N 0.000 0.000 1.946
```

=====

(5)
A plane-wave DFT calculation with PBE-GGA was carried out for an optimized crystal structure of YTlCo2Pb. Values from VASP.

Results
Energy of formation from the pure elements = 0.97 eV per atom

Quantum ESPRESSO input file:
```
&SYSTEM
  ibrav = 0, nat = 5, ntyp = 4
/
ATOMIC_SPECIES
Pb 207.20 Pb.upf
Y 88.91 Y.upf
Tl 204.38 Tl.upf
Co 58.93 Co.upf
CELL_PARAMETERS angstrom
4.843 0.000 0.000
0.000 5.661 0.000
0.000 0.000 4.843
ATOMIC_POSITIONS angstrom
Pb 0.000 2.831 0.000
Y 2.422 2.831 2.422
Tl 0.000 0.000 0.000
Co 0.000 0.000 2.422
Co 2.422 0.000 0.000
```

=====

(6)
A plane-wave DFT calculation with PBE-GGA was carried out for an optimized crystal structure of TlGeAsN2. Values from VASP.

Results
Raw formation energy = 1.341 eV per atom

Quantum ESPRESSO input file:
```
&SYSTEM
  ibrav = 0, nat = 5, ntyp = 4
/
ATOMIC_SPECIES
Tl 204.38 Tl.upf
Ge 72.64 Ge.upf
As 74.92 As.upf
N 14.01 N.upf
CELL_PARAMETERS angstrom
3.789 0.000 0.000
0.000 8.248 0.000
0.000 0.000 3.789
ATOMIC_POSITIONS angstrom
Tl 0.000 4.124 0.000
Ge 0.000 0.000 0.000
As 1.895 4.124 1.895
N 0.000 0.000 1.895
N 1.895 0.000 0.000
```